No. 1
DyScZnPd: optimized geometry, PBE-GGA.

Calculated values
Formation energy from the elements, meV per atom: -590
DFT total energy, eV/cell: -79.0
Offset from the most stable computed form, eV per atom: 0.0350
Calculated density, g/cm³: 7.728
Magnetic moment, μB per atom: 0.0004

Cell lengths 6.882, 6.882, 6.882 Å; angles 90.00, 90.00, 90.00 degrees
Space group F-43m (No. 216)
Unique sites:
Dy  0.000  0.000  0.000
Sc  0.000  0.000  0.500
Zn  0.250  0.250  0.250
Pd  0.250  0.250  0.750


No. 2
Dy2ScZn2Pd5: optimized geometry, PBE-GGA.

Calculated values
Formation energy from the elements, meV per atom: -779
DFT total energy, eV/cell: -103.7
Calculated density, g/cm³: 9.434
Magnetic moment, μB per atom: 0.0000

Cell lengths 9.757, 9.757, 3.820 Å; angles 90.00, 90.00, 90.00 degrees
Space group P4/mbm (No. 127)
Unique sites:
Dy  0.175  0.325  0.000
Sc  0.000  0.000  0.000
Zn  0.121  0.621  0.000
Pd  0.000  0.500  0.500
Pd  0.067  0.794  0.500


No. 3
DyScZnPd: optimized geometry, PBE-GGA.

Calculated values
Formation energy from the elements, meV per atom: -625
DFT total energy, eV/cell: -19.9
Offset from the most stable computed form, eV per atom: 0.0000
Calculated density, g/cm³: 7.792
Magnetic moment, μB per atom: 0.0000

Cell lengths 3.445, 3.445, 6.812 Å; angles 90.00, 90.00, 90.00 degrees
Space group P4mm (No. 99)
Unique sites:
Dy  0.000  0.000  0.000
Sc  0.000  0.000  0.495
Zn  0.500  0.500  0.721
Pd  0.500  0.500  0.271


No. 4
Dy5PdSe4: optimized geometry, PBE-GGA.

Calculated values
DFT total energy, eV/cell: -115.8
ΔE_f (raw), eV per atom: -1.578
Calculated density, g/cm³: 8.456
Magnetic moment, μB per atom: 0.0000

Cell lengths 13.781, 4.014, 10.136 Å; angles 90.00, 120.11, 90.00 degrees
Space group C2/m (No. 12)
Unique sites:
Dy  0.000  0.000  0.000
Dy  0.094  0.500  0.404
Dy  0.197  0.000  0.795
Pd  0.000  0.000  0.500
Se  0.103  0.500  0.907
Se  0.197  0.000  0.300


No. 5
Dy4PdSe3: optimized geometry, PBE-GGA.

Calculated values
DFT total energy, eV/cell: -92.4
ΔE_f (raw), eV per atom: -1.519
Calculated density, g/cm³: 8.504
Magnetic moment, μB per atom: 0.0000

Cell lengths 8.310, 11.627, 4.015 Å; angles 90.00, 90.00, 90.00 degrees
Space group Cmmm (No. 65)
Unique sites:
Dy  0.000  0.248  0.000
Dy  0.239  0.000  0.500
Pd  0.000  0.000  0.000
Se  0.000  0.500  0.000
Se  0.250  0.250  0.500


No. 6
Dy3PdSe3: optimized geometry, PBE-GGA.

Calculated values
DFT total energy, eV/cell: -239.2
ΔE_f (raw), eV per atom: -1.487
Calculated density, g/cm³: 7.787
Magnetic moment, μB per atom: 0.0000

Cell lengths 8.4249, 8.4249, 17.2926 Å; angles 90.00, 90.00, 120.00 degrees
Space group R-3 (No. 148, hexagonal axes)
Unique sites:
Dy  0.0114  0.2839  0.2563
Pd  0.0000  0.0000  0.3567
Se  0.0224  0.3958  0.7568


No. 7
DyPdSe2: optimized geometry, PBE-GGA.

Calculated values
DFT total energy, eV/cell: -54.8
Offset from the most stable computed form, eV per atom: 0.5988
ΔE_f (raw), eV per atom: -0.375
Calculated density, g/cm³: 6.852
Magnetic moment, μB per atom: 0.0000

Cell lengths 3.7968, 3.7968, 24.8588 Å; angles 90.00, 90.00, 120.00 degrees
Space group R-3m (No. 166, hexagonal axes)
Unique sites:
Dy  0.0000  0.0000  0.0000
Pd  0.0000  0.0000  0.5000
Se  0.0000  0.0000  0.1122


No. 8
DyPdSe: optimized geometry, PBE-GGA.

Calculated values
DFT total energy, eV/cell: -32.5
ΔE_f (raw), eV per atom: -0.994
Calculated density, g/cm³: 9.080
Magnetic moment, μB per atom: 0.0000

Cell lengths 3.756, 3.756, 9.017 Å; angles 90.00, 90.00, 90.00 degrees
Space group I4mm (No. 107)
Unique sites:
Dy  0.000  0.000  0.000
Pd  0.000  0.000  0.337
Se  0.000  0.000  0.641


No. 9
Dy7PdSe5: optimized geometry, PBE-GGA.

Calculated values
DFT total energy, eV/cell: -296.7
ΔE_f (raw), eV per atom: -1.488
Calculated density, g/cm³: 8.382
Magnetic moment, μB per atom: 0.0000

Cell lengths 3.975, 13.371, 24.431 Å; angles 90.00, 90.00, 90.00 degrees
Space group Cmcm (No. 63)
Unique sites:
Dy  0.000  0.040  0.250
Dy  0.000  0.139  0.538
Dy  0.000  0.298  0.180
Dy  0.000  0.412  0.615
Pd  0.000  0.305  0.750
Se  0.000  0.056  0.644
Se  0.000  0.221  0.071
Se  0.000  0.500  0.000


No. 10
Dy6PdSe5: optimized geometry, PBE-GGA.

Calculated values
DFT total energy, eV/cell: -139.3
ΔE_f (raw), eV per atom: -1.619
Calculated density, g/cm³: 8.454
Magnetic moment, μB per atom: 0.0000

Cell lengths 7.091, 12.284, 7.072 Å; angles 90.00, 109.71, 90.00 degrees
Space group C2/m (No. 12)
Unique sites:
Dy  0.242  0.164  0.242
Dy  0.244  0.000  0.752
Pd  0.000  0.000  0.000
Se  0.000  0.173  0.500
Se  0.000  0.335  0.000
Se  0.000  0.500  0.500


No. 11
DyPdSe2: optimized geometry, PBE-GGA.

Calculated values
DFT total energy, eV/cell: -62.0
Offset from the most stable computed form, eV per atom: 0.0000
ΔE_f (raw), eV per atom: -0.973
Calculated density, g/cm³: 7.958
Magnetic moment, μB per atom: 0.0000

Cell lengths 4.0318, 4.0318, 18.9796 Å; angles 90.00, 90.00, 120.00 degrees
Space group R3m (No. 160, hexagonal axes)
Unique sites:
Dy  0.0000  0.0000  0.0000
Pd  0.0000  0.0000  0.8268
Se  0.0000  0.0000  0.2431
Se  0.0000  0.0000  0.4225


No. 12
Dy4Te2PdSe: optimized geometry, PBE-GGA.

Calculated values
DFT total energy, eV/cell: -43.8
ΔE_f (raw), eV per atom: -1.300
Calculated density, g/cm³: 8.371
Magnetic moment, μB per atom: 0.0000

Cell lengths 7.413, 4.132, 7.456 Å; angles 90.00, 108.71, 90.00 degrees
Space group P2/m (No. 10)
Unique sites:
Dy  0.226  0.000  0.214
Dy  0.256  0.500  0.775
Te  0.000  0.000  0.500
Te  0.500  0.500  0.500
Pd  0.000  0.500  0.000
Se  0.500  0.000  0.000


No. 13
Dy4TePdSe2: optimized geometry, PBE-GGA.

Calculated values
DFT total energy, eV/cell: -44.7
ΔE_f (raw), eV per atom: -1.379
Calculated density, g/cm³: 8.459
Magnetic moment, μB per atom: 0.0000

Cell lengths 7.246, 4.076, 7.308 Å; angles 90.00, 108.65, 90.00 degrees
Space group P2/m (No. 10)
Unique sites:
Dy  0.230  0.000  0.244
Dy  0.233  0.500  0.736
Te  0.500  0.000  0.000
Pd  0.000  0.500  0.000
Se  0.000  0.000  0.500
Se  0.500  0.500  0.500


No. 14
DySiPd3: optimized geometry, PBE-GGA.

Calculated values
DFT total energy, eV/cell: -113.0
Offset from the most stable computed form, eV per atom: 0.0761
ΔE_f (raw), eV per atom: -0.531
Calculated density, g/cm³: 8.088
Magnetic moment, μB per atom: 0.0000

Cell lengths 5.205, 5.205, 15.455 Å; angles 90.00, 90.00, 90.00 degrees
Space group I-4m2 (No. 119)
Unique sites:
Dy  0.000  0.000  0.153
Si  0.000  0.000  0.500
Si  0.000  0.500  0.750
Pd  0.000  0.246  0.627
Pd  0.000  0.500  0.041


No. 15
Dy3Si2Pd2: optimized geometry, PBE-GGA.

Calculated values
DFT total energy, eV/cell: -165.2
ΔE_f (raw), eV per atom: -0.893
Calculated density, g/cm³: 8.710
Magnetic moment, μB per atom: 0.0001

Cell lengths 5.687, 7.824, 12.966 Å; angles 90.00, 90.00, 90.00 degrees
Space group Pbcm (No. 57)
Unique sites:
Dy  0.126  0.097  0.106
Dy  0.363  0.735  0.250
Si  0.147  0.117  0.750
Si  0.314  0.750  0.000
Pd  0.383  0.051  0.591


No. 16
DySiPd3: optimized geometry, PBE-GGA.

Calculated values
DFT total energy, eV/cell: -28.6
Offset from the most stable computed form, eV per atom: 0.0000
ΔE_f (raw), eV per atom: -0.607
Calculated density, g/cm³: 8.743
Magnetic moment, μB per atom: 0.0000

Cell lengths 4.592, 4.592, 4.592 Å; angles 90.00, 90.00, 90.00 degrees
Space group Pm-3m (No. 221)
Unique sites:
Dy  0.000  0.000  0.000
Si  0.500  0.500  0.500
Pd  0.000  0.500  0.500


No. 17
Dy3Si2Pd3: optimized geometry, PBE-GGA.

Calculated values
DFT total energy, eV/cell: -191.1
ΔE_f (raw), eV per atom: -0.943
Calculated density, g/cm³: 8.963
Magnetic moment, μB per atom: 0.0000

Cell lengths 7.541, 15.143, 5.600 Å; angles 90.00, 90.00, 90.00 degrees
Space group Pnma (No. 62)
Unique sites:
Dy  0.028  0.109  0.136
Dy  0.168  0.250  0.626
Si  0.120  0.607  0.360
Pd  0.174  0.034  0.595
Pd  0.186  0.750  0.613


No. 18
DySi3Pd2: optimized geometry, PBE-GGA.

Calculated values
DFT total energy, eV/cell: -139.1
ΔE_f (raw), eV per atom: -0.588
Calculated density, g/cm³: 7.527
Magnetic moment, μB per atom: 0.0000

Cell lengths 9.380, 7.590, 5.697 Å; angles 90.00, 90.00, 90.00 degrees
Space group Cmcm (No. 63)
Unique sites:
Dy  0.000  0.172  0.250
Si  0.000  0.453  0.750
Si  0.131  0.185  0.750
Pd  0.218  0.500  0.000


No. 19
Dy2Si3Pd9: optimized geometry, PBE-GGA.

Calculated values
DFT total energy, eV/cell: -335.5
ΔE_f (raw), eV per atom: -0.834
Calculated density, g/cm³: 9.974
Magnetic moment, μB per atom: 0.0000

Cell lengths 13.280, 7.633, 9.996 Å; angles 90.00, 116.05, 90.00 degrees
Space group C2/c (No. 15)
Unique sites:
Dy  0.171  0.085  0.249
Si  0.086  0.240  0.500
Si  0.250  0.250  0.000
Pd  0.000  0.362  0.250
Pd  0.058  0.071  0.922
Pd  0.102  0.409  0.047
Pd  0.109  0.313  0.747
Pd  0.229  0.411  0.427


No. 20
DySiPd4: optimized geometry, PBE-GGA.

Calculated values
DFT total energy, eV/cell: -70.9
ΔE_f (raw), eV per atom: -0.775
Calculated density, g/cm³: 9.979
Magnetic moment, μB per atom: 0.0000

Cell lengths 7.739, 3.839, 6.902 Å; angles 90.00, 90.00, 90.00 degrees
Space group Pmma (No. 51)
Unique sites:
Dy  0.250  0.000  0.133
Si  0.250  0.000  0.706
Pd  0.000  0.000  0.500
Pd  0.063  0.500  0.807
Pd  0.250  0.500  0.446